[1]
Computed, not measured: Tl3CrMo after structural relaxation at the GGA-PBE level of DFT.

Structure (POSCAR):
```
Tl3CrMo
1.0
5.261 0.000 0.000
0.000 5.261 0.000
0.000 0.000 5.261
Tl Cr Mo
3 1 1
Direct
0.000 0.000 0.500
0.000 0.500 0.000
0.500 0.000 0.000
0.000 0.000 0.000
0.500 0.500 0.500
```

Values from the calculation:
Magnetization: 7.78 μB/f.u.
E above lowest polymorph: 191 meV per atom
E_form: 123.4 kJ per mole of atoms

---

[2]
Computed, not measured: LaAl2Au2 after structural relaxation at the GGA-PBE level of DFT.

Structure (POSCAR):
```
LaAl2Au2
1.0
4.351 0.000 0.000
0.000 4.351 0.000
0.000 0.000 11.287
La Al Au
2 4 4
Direct
0.000 0.000 0.000
0.500 0.500 0.500
0.000 0.500 0.250
0.000 0.500 0.750
0.500 0.000 0.250
0.500 0.000 0.750
0.000 0.000 0.376
0.000 0.000 0.624
0.500 0.500 0.124
0.500 0.500 0.876
```

Values from the calculation:
Magnetization: 0.00 μB/f.u.
E_form: -72.8 kJ per mole of atoms